CoP2HO6 (GGA+U, optimized geometry); energy = -6.51 eV/atom; magnetic moment = 2.0 μB/f.u.
1.0
5.404 -5.563 0.000
5.404 5.563 0.000
-0.640 0.000 4.571
Co P H O
2 4 2 12
Direct
0.060 0.940 0.750
0.940 0.060 0.250
0.225 0.389 0.326
0.389 0.225 0.826
0.611 0.775 0.174
0.775 0.611 0.674
0.320 0.680 0.250
0.680 0.320 0.750
0.065 0.276 0.257
0.206 0.576 0.277
0.276 0.065 0.757
0.309 0.384 0.657
0.384 0.309 0.157
0.424 0.794 0.223
0.576 0.206 0.777
0.616 0.691 0.843
0.691 0.616 0.343
0.724 0.935 0.243
0.794 0.424 0.723
0.935 0.724 0.743